#P
BaAgAs3 | GGA-PBE | optimized geometry

Lattice parameters (Å, degrees): 5.1616 5.1616 5.1616 90.00 90.00 90.00
Element x y z (fractional)
Ba (0.0000, 0.0000, 0.0000)
Ag (0.5000, 0.5000, 0.5000)
As (0.0000, 0.5000, 0.5000)
As (0.5000, 0.0000, 0.5000)
As (0.5000, 0.5000, 0.0000)

Output
Total magnetic moment (μB per atom): 0.00



#Q
BaAgAs3 | GGA-PBE | optimized geometry

Lattice parameters (Å, degrees): 5.8403 5.8403 5.8403 90.00 90.00 90.00
Element x y z (fractional)
Ba (0.0000, 0.0000, 0.0000)
Ag (0.5000, 0.5000, 0.5000)
As (0.0000, 0.0000, 0.5000)
As (0.0000, 0.5000, 0.0000)
As (0.5000, 0.0000, 0.0000)

Output
Total magnetic moment (μB per atom): 0.00



Stability summary - winner: #P; margin: 120.5 kJ/mol of atoms.



#P
BaAg3As | GGA-PBE | optimized geometry

Lattice parameters (Å, degrees): 6.1061 6.1061 6.1061 90.00 90.00 90.00
Element x y z (fractional)
Ba (0.0000, 0.0000, 0.0000)
Ag (0.0000, 0.0000, 0.5000)
Ag (0.0000, 0.5000, 0.0000)
Ag (0.5000, 0.0000, 0.0000)
As (0.5000, 0.5000, 0.5000)

Output
Total magnetic moment (μB per atom): 0.38



#Q
BaAg3As | GGA-PBE | optimized geometry

Lattice parameters (Å, degrees): 5.1906 5.1906 5.1906 90.00 90.00 90.00
Element x y z (fractional)
Ba (0.0000, 0.0000, 0.0000)
Ag (0.0000, 0.5000, 0.5000)
Ag (0.5000, 0.0000, 0.5000)
Ag (0.5000, 0.5000, 0.0000)
As (0.5000, 0.5000, 0.5000)

Output
Total magnetic moment (μB per atom): 0.00



Stability summary - winner: #Q; margin: 128.7 kJ/mol of atoms.



#P
BaAgAs2Se | GGA-PBE | optimized geometry

Lattice parameters (Å, degrees): 6.1099 6.1099 6.0363 90.00 90.00 90.00
Element x y z (fractional)
Ba (0.0000, 0.0000, 0.0000)
Ag (0.5000, 0.5000, 0.5000)
As (0.0000, 0.5000, 0.0000)
As (0.5000, 0.0000, 0.0000)
Se (0.0000, 0.0000, 0.5000)

Output
Total magnetic moment (μB per atom): 0.59



#Q
BaAgAs2Se | GGA-PBE | optimized geometry

Lattice parameters (Å, degrees): 4.8808 4.8808 6.7605 90.00 90.00 90.00
Element x y z (fractional)
Ba (0.0000, 0.0000, 0.0000)
Ag (0.0000, 0.0000, 0.5000)
As (0.0000, 0.5000, 0.5000)
As (0.5000, 0.0000, 0.5000)
Se (0.5000, 0.5000, 0.0000)

Output
Total magnetic moment (μB per atom): 0.08



#R
BaAgAs2Se | GGA-PBE | optimized geometry

Lattice parameters (Å, degrees): 5.0721 5.0721 5.4025 90.00 90.00 90.00
Element x y z (fractional)
Ba (0.0000, 0.0000, 0.0000)
Ag (0.5000, 0.5000, 0.5000)
As (0.0000, 0.5000, 0.5000)
As (0.5000, 0.0000, 0.5000)
Se (0.5000, 0.5000, 0.0000)

Output
Total magnetic moment (μB per atom): 0.00



Stability summary - winner: #R; margin: 20.3 kJ/mol of atoms.



#P
Be3AgAs | GGA-PBE | optimized geometry

Lattice parameters (Å, degrees): 4.3311 4.3311 4.3311 90.00 90.00 90.00
Element x y z (fractional)
Be (0.0000, 0.0000, 0.5000)
Be (0.0000, 0.5000, 0.0000)
Be (0.5000, 0.0000, 0.0000)
Ag (0.0000, 0.0000, 0.0000)
As (0.5000, 0.5000, 0.5000)

Output
Total magnetic moment (μB per atom): 0.00



#Q
Be3AgAs | GGA-PBE | optimized geometry

Lattice parameters (Å, degrees): 4.2820 4.2820 4.2820 90.00 90.00 90.00
Element x y z (fractional)
Be (0.0000, 0.0000, 0.5000)
Be (0.0000, 0.5000, 0.0000)
Be (0.5000, 0.0000, 0.0000)
Ag (0.5000, 0.5000, 0.5000)
As (0.0000, 0.0000, 0.0000)

Output
Total magnetic moment (μB per atom): 0.00



Stability summary - winner: #Q; margin: 8.5 kJ/mol of atoms.



#P
BeAgAs3 | GGA-PBE | optimized geometry

Lattice parameters (Å, degrees): 4.5403 4.5403 4.5403 90.00 90.00 90.00
Element x y z (fractional)
Be (0.0000, 0.0000, 0.0000)
Ag (0.5000, 0.5000, 0.5000)
As (0.0000, 0.0000, 0.5000)
As (0.0000, 0.5000, 0.0000)
As (0.5000, 0.0000, 0.0000)

Output
Total magnetic moment (μB per atom): 0.00



#Q
BeAgAs3 | GGA-PBE | optimized geometry

Lattice parameters (Å, degrees): 4.9845 4.9845 4.9845 90.00 90.00 90.00
Element x y z (fractional)
Be (0.0000, 0.0000, 0.0000)
Ag (0.5000, 0.5000, 0.5000)
As (0.0000, 0.5000, 0.5000)
As (0.5000, 0.0000, 0.5000)
As (0.5000, 0.5000, 0.0000)

Output
Total magnetic moment (μB per atom): 0.00



Stability summary - winner: #P; margin: 77.7 kJ/mol of atoms.



#P
BeAgAs2Se | GGA-PBE | optimized geometry

Lattice parameters (Å, degrees): 4.4607 4.4607 4.8653 90.00 90.00 90.00
Element x y z (fractional)
Be (0.0000, 0.0000, 0.0000)
Ag (0.5000, 0.5000, 0.5000)
As (0.0000, 0.5000, 0.0000)
As (0.5000, 0.0000, 0.0000)
Se (0.0000, 0.0000, 0.5000)

Output
Total magnetic moment (μB per atom): 0.00



#Q
BeAgAs2Se | GGA-PBE | optimized geometry

Lattice parameters (Å, degrees): 4.9694 4.9694 5.0998 90.00 90.00 90.00
Element x y z (fractional)
Be (0.0000, 0.0000, 0.0000)
Ag (0.5000, 0.5000, 0.5000)
As (0.0000, 0.5000, 0.5000)
As (0.5000, 0.0000, 0.5000)
Se (0.5000, 0.5000, 0.0000)

Output
Total magnetic moment (μB per atom): 0.08



Stability summary - winner: #P; margin: 76.4 kJ/mol of atoms.



#P
BeAgAsSe2 | GGA-PBE | optimized geometry

Lattice parameters (Å, degrees): 4.8290 4.8290 4.2789 90.00 90.00 90.00
Element x y z (fractional)
Be (0.0000, 0.0000, 0.0000)
Ag (0.5000, 0.5000, 0.5000)
As (0.0000, 0.0000, 0.5000)
Se (0.0000, 0.5000, 0.0000)
Se (0.5000, 0.0000, 0.0000)

Output
Total magnetic moment (μB per atom): 0.00



#Q
BeAgAsSe2 | GGA-PBE | optimized geometry

Lattice parameters (Å, degrees): 5.1040 5.1040 4.8923 90.00 90.00 90.00
Element x y z (fractional)
Be (0.0000, 0.0000, 0.0000)
Ag (0.5000, 0.5000, 0.5000)
As (0.5000, 0.5000, 0.0000)
Se (0.0000, 0.5000, 0.5000)
Se (0.5000, 0.0000, 0.5000)

Output
Total magnetic moment (μB per atom): 0.00



Stability summary - winner: #P; margin: 74.7 kJ/mol of atoms.



#P
AgBi2As2 | GGA-PBE | optimized geometry

Lattice parameters (Å, degrees): 7.8411 7.8411 4.1378 90.00 90.00 90.00
Element x y z (fractional)
Ag (0.0000, 0.0000, 0.0000)
Ag (0.5000, 0.5000, 0.0000)
Bi (0.1583, 0.3417, 0.5000)
Bi (0.3417, 0.8417, 0.5000)
Bi (0.6583, 0.1583, 0.5000)
Bi (0.8417, 0.6583, 0.5000)
As (0.1608, 0.6608, 0.0000)
As (0.3392, 0.1608, 0.0000)
As (0.6608, 0.8392, 0.0000)
As (0.8392, 0.3392, 0.0000)

Output
Total magnetic moment (μB per atom): 0.00



#Q
AgBi2As2 | GGA-PBE | optimized geometry

Lattice parameters (Å, degrees): 8.1195 8.1195 3.9431 90.00 90.00 90.00
Element x y z (fractional)
Ag (0.0000, 0.0000, 0.0000)
Ag (0.5000, 0.5000, 0.0000)
Bi (0.1555, 0.3445, 0.0000)
Bi (0.3445, 0.8445, 0.0000)
Bi (0.6555, 0.1555, 0.0000)
Bi (0.8445, 0.6555, 0.0000)
As (0.1605, 0.6605, 0.5000)
As (0.3395, 0.1605, 0.5000)
As (0.6605, 0.8395, 0.5000)
As (0.8395, 0.3395, 0.5000)

Output
Total magnetic moment (μB per atom): 0.00



Stability summary - winner: #P; margin: 7.0 kJ/mol of atoms.



#P
Ag3BiAs | GGA-PBE | optimized geometry

Lattice parameters (Å, degrees): 5.0074 5.0074 5.0074 90.00 90.00 90.00
Element x y z (fractional)
Ag (0.0000, 0.0000, 0.5000)
Ag (0.0000, 0.5000, 0.0000)
Ag (0.5000, 0.0000, 0.0000)
Bi (0.5000, 0.5000, 0.5000)
As (0.0000, 0.0000, 0.0000)

Output
Total magnetic moment (μB per atom): 0.00



#Q
Ag3BiAs | GGA-PBE | optimized geometry

Lattice parameters (Å, degrees): 5.4289 5.4289 5.4289 90.00 90.00 90.00
Element x y z (fractional)
Ag (0.0000, 0.0000, 0.5000)
Ag (0.0000, 0.5000, 0.0000)
Ag (0.5000, 0.0000, 0.0000)
Bi (0.0000, 0.0000, 0.0000)
As (0.5000, 0.5000, 0.5000)

Output
Total magnetic moment (μB per atom): 0.56



Stability summary - winner: #P; margin: 47.6 kJ/mol of atoms.



#P
Ag2AsBr | GGA-PBE | optimized geometry

Lattice parameters (Å, degrees): 8.7358 3.6377 6.4209 90.00 111.43 90.00
Element x y z (fractional)
Ag (0.0000, 0.0000, 0.0000)
Ag (0.2247, 0.0000, 0.7617)
Ag (0.5000, 0.5000, 0.0000)
Ag (0.7247, 0.5000, 0.7617)
As (0.4860, 0.0000, 0.6619)
As (0.9860, 0.5000, 0.6619)
Br (0.3088, 0.5000, 0.2656)
Br (0.8088, 0.0000, 0.2656)

Output
Total magnetic moment (μB per atom): 0.00



#Q
Ag2AsBr | GGA-PBE | optimized geometry

Lattice parameters (Å, degrees): 3.1292 4.0315 7.6518 90.00 94.16 90.00
Element x y z (fractional)
Ag (0.0000, 0.0000, 0.0000)
Ag (0.4728, 0.5000, 0.7803)
As (0.5179, 0.5000, 0.1276)
Br (0.4977, 0.0000, 0.5411)

Output
Total magnetic moment (μB per atom): 0.00



Stability summary - winner: #Q; margin: 3.3 kJ/mol of atoms.



#P
Ag2AsBr | GGA-PBE | optimized geometry

Lattice parameters (Å, degrees): 3.1727 3.1727 30.1245 90.00 90.00 120.00
Element x y z (fractional)
Ag (0.0000, 0.0000, 0.0000)
Ag (0.0000, 0.0000, 0.2591)
Ag (0.3333, 0.6667, 0.6667)
Ag (0.3333, 0.6667, 0.9258)
Ag (0.6667, 0.3333, 0.3333)
Ag (0.6667, 0.3333, 0.5924)
As (0.0000, 0.0000, 0.7351)
As (0.3333, 0.6667, 0.4017)
As (0.6667, 0.3333, 0.0684)
Br (0.0000, 0.0000, 0.5180)
Br (0.3333, 0.6667, 0.1846)
Br (0.6667, 0.3333, 0.8513)

Output
Total magnetic moment (μB per atom): 0.05



#Q
Ag2AsBr | GGA-PBE | optimized geometry

Lattice parameters (Å, degrees): 3.4872 5.6306 8.9626 90.00 90.00 90.00
Element x y z (fractional)
Ag (0.0000, 0.0000, 0.2304)
Ag (0.0000, 0.0000, 0.7696)
Ag (0.5000, 0.5000, 0.2696)
Ag (0.5000, 0.5000, 0.7304)
As (0.0000, 0.5000, 0.5000)
As (0.5000, 0.0000, 0.0000)
Br (0.0000, 0.5000, 0.0000)
Br (0.5000, 0.0000, 0.5000)

Output
Total magnetic moment (μB per atom): 0.00



#R
Ag2AsBr | GGA-PBE | optimized geometry

Lattice parameters (Å, degrees): 3.4047 3.6046 14.6660 90.00 90.00 90.00
Element x y z (fractional)
Ag (0.0000, 0.0000, 0.0000)
Ag (0.0000, 0.5000, 0.2263)
Ag (0.5000, 0.0000, 0.7263)
Ag (0.5000, 0.5000, 0.5000)
As (0.0000, 0.5000, 0.6417)
As (0.5000, 0.0000, 0.1417)
Br (0.0000, 0.0000, 0.3875)
Br (0.5000, 0.5000, 0.8875)

Output
Total magnetic moment (μB per atom): 0.00



Stability summary - winner: #R; margin: 18.2 kJ/mol of atoms.



#P
Ag2AsBr | GGA-PBE | optimized geometry

Lattice parameters (Å, degrees): 6.1634 8.2127 3.3052 90.00 90.00 90.00
Element x y z (fractional)
Ag (0.2500, 0.2500, 0.0000)
Ag (0.2500, 0.7500, 0.0000)
Ag (0.7500, 0.2500, 0.0000)
Ag (0.7500, 0.7500, 0.0000)
As (0.0000, 0.0000, 0.5000)
As (0.5000, 0.5000, 0.5000)
Br (0.0000, 0.5000, 0.5000)
Br (0.5000, 0.0000, 0.5000)

Output
Total magnetic moment (μB per atom): 0.00



#Q
Ag2AsBr | GGA-PBE | optimized geometry

Lattice parameters (Å, degrees): 3.5523 3.5523 7.3145 90.00 90.00 90.00
Element x y z (fractional)
Ag (0.0000, 0.0000, 0.0000)
Ag (0.5000, 0.5000, 0.2265)
As (0.0000, 0.0000, 0.3706)
Br (0.5000, 0.5000, 0.7943)

Output
Total magnetic moment (μB per atom): 0.00



Stability summary - winner: #Q; margin: 18.2 kJ/mol of atoms.



#P
Ag2AsBr | GGA-PBE | optimized geometry

Lattice parameters (Å, degrees): 3.2923 4.4940 6.0151 90.00 90.00 90.00
Element x y z (fractional)
Ag (0.0000, 0.0000, 0.0000)
Ag (0.0000, 0.5000, 0.5000)
As (0.5000, 0.0000, 0.5000)
Br (0.5000, 0.5000, 0.0000)

Output
Total magnetic moment (μB per atom): 0.00



#Q
Ag2AsBr | GGA-PBE | optimized geometry

Lattice parameters (Å, degrees): 3.5039 3.4490 7.3797 90.00 90.20 90.00
Element x y z (fractional)
Ag (0.0020, 0.0000, 0.2013)
Ag (0.9980, 0.0000, 0.7987)
As (0.5000, 0.5000, 0.0000)
Br (0.0000, 0.5000, 0.5000)

Output
Total magnetic moment (μB per atom): 0.00



Stability summary - winner: #Q; margin: 17.2 kJ/mol of atoms.